(1)
DFT (PBE-GGA) results for a relaxed structure of ZrTaBeRe.

Results
Volume (A^3/atom): 16.02
E above lowest polymorph (eV/atom): 0.137

abc: 4.4915 4.4915 4.4915
angles: 60.00 60.00 60.00
Sites, in units of the cell vectors:
Ta 0.2500 0.2500 0.2500
Be 0.7500 0.7500 0.7500
Zr 0.0000 0.0000 0.0000
Re 0.5000 0.5000 0.5000

***

(2)
DFT (PBE-GGA) results for a relaxed structure of BaErCdP2.

Results
Volume (A^3/atom): 25.65

abc: 9.1664 9.1664 6.8703
angles: 90.00 90.00 153.62
Sites, in units of the cell vectors:
P 0.3346 0.6654 0.4193
P 0.0444 0.9556 0.4546
P 0.9556 0.0444 0.9546
P 0.6654 0.3346 0.9193
Ba 0.3032 0.6968 0.9378
Ba 0.6968 0.3032 0.4378
Cd 0.8952 0.1048 0.5776
Cd 0.1048 0.8952 0.0776
Er 0.5279 0.4721 0.7446
Er 0.4721 0.5279 0.2446

***

(3)
DFT (PBE-GGA) results for a relaxed structure of RbCdNO.

Results
Volume (A^3/atom): 18.89
E above lowest polymorph (eV/atom): 0.000

abc: 5.7164 9.2417 5.7198
angles: 90.00 90.00 90.00
Sites, in units of the cell vectors:
N 0.2497 0.0029 0.7407
N 0.7503 0.9971 0.2407
N 0.7497 0.9971 0.7407
N 0.2503 0.0029 0.2407
Cd 0.5038 0.1088 0.4911
Cd 0.9962 0.1088 0.9911
Cd 0.4962 0.8912 0.9911
Cd 0.0038 0.8912 0.4911
O 0.0057 0.6642 0.4850
O 0.9943 0.3358 0.9850
O 0.5057 0.3358 0.4850
O 0.4943 0.6642 0.9850
Rb 0.4953 0.3598 0.9855
Rb 0.9953 0.6402 0.9855
Rb 0.0047 0.3598 0.4855
Rb 0.5047 0.6402 0.4855

***

Number 1: E -9.074 eV/atom. Number 2: E -4.533 eV/atom. Number 3: E -3.629 eV/atom.